(1)
Here is Si3Tc after structural relaxation from the Alexandria database. Energies are from GGA-PBE.

a b c (Å): 4.1772 4.1772 3.1358
angles (deg): 90.00 90.00 90.00
Closest atoms and distances in Å follow each position.
Fractional coordinates of all 4 atoms:
Si 0.0000 0.0000 0.0000  8 Si 2.61
Si 0.0000 0.5000 0.5000  4 Tc 2.61, 4 Si 2.61
Si 0.5000 0.0000 0.5000  4 Tc 2.61, 4 Si 2.61
Tc 0.5000 0.5000 0.0000  8 Si 2.61

Properties
Energy above the lowest structure with this stoichiometry = 412 meV/atom
Uncorrected formation energy = 0.2287 eV per atom

---

(2)
Here is Al2TeIr after structural relaxation from the Alexandria database. Energies are from GGA-PBE.

a b c (Å): 6.0379 6.0379 11.3978
angles (deg): 90.00 90.00 90.00
Closest atoms and distances in Å follow each position.
Fractional coordinates of all 16 atoms:
Al 0.1978 0.2500 0.1250  2 Ir 2.39
Al 0.2500 0.6978 0.3750  2 Ir 2.39
Al 0.2500 0.8022 0.8750  2 Ir 2.39
Al 0.3022 0.2500 0.6250  2 Ir 2.39
Al 0.6978 0.7500 0.6250  2 Ir 2.39
Al 0.7500 0.1978 0.8750  2 Ir 2.39
Al 0.7500 0.3022 0.3750  2 Ir 2.39
Al 0.8022 0.7500 0.1250  2 Ir 2.39
Te 0.0000 0.0000 0.5000  4 Al 2.76
Te 0.0000 0.5000 0.7500  4 Al 2.76
Te 0.5000 0.0000 0.2500  4 Al 2.76
Te 0.5000 0.5000 0.0000  4 Al 2.76
Ir 0.0000 0.0000 0.0000  4 Al 2.39
Ir 0.0000 0.5000 0.2500  4 Al 2.39
Ir 0.5000 0.0000 0.7500  4 Al 2.39
Ir 0.5000 0.5000 0.5000  4 Al 2.39

Properties
Uncorrected formation energy = -0.0108 eV per atom

---

(3)
Here is NdFeSi after structural relaxation from the Alexandria database. Energies are from GGA-PBE.

a b c (Å): 3.8602 10.4443 5.2790
angles (deg): 90.00 90.00 90.00
Closest atoms and distances in Å follow each position.
Fractional coordinates of all 12 atoms:
Nd 0.0000 0.2191 0.2500  5 Fe 2.84-3.16
Nd 0.0000 0.7809 0.7500  5 Fe 2.84-3.16
Nd 0.5000 0.2809 0.7500  5 Fe 2.84-3.16
Nd 0.5000 0.7191 0.2500  5 Fe 2.84-3.16
Fe 0.0000 0.0526 0.7500  4 Si 2.40
Fe 0.0000 0.9474 0.2500  4 Si 2.40
Fe 0.5000 0.4474 0.2500  4 Si 2.40
Fe 0.5000 0.5526 0.7500  4 Si 2.40
Si 0.0000 0.5000 0.0000  4 Fe 2.40, 2 Si 2.64
Si 0.0000 0.5000 0.5000  4 Fe 2.40, 2 Si 2.64
Si 0.5000 0.0000 0.0000  4 Fe 2.40, 2 Si 2.64
Si 0.5000 0.0000 0.5000  4 Fe 2.40, 2 Si 2.64

Properties
Uncorrected formation energy = -0.3093 eV per atom

---

(4)
Here is Dy3Ge3Rh after structural relaxation from the Alexandria database. Energies are from GGA-PBE.

a b c (Å): 5.7302 5.7302 13.9490
angles (deg): 108.36 108.36 43.85
Closest atoms and distances in Å follow each position.
Fractional coordinates of all 14 atoms:
Dy 0.0285 0.0285 0.3791  6 Ge 2.97-3.19, 4 Rh 3.08-3.24
Dy 0.1016 0.1016 0.9220  7 Ge 2.94-3.20
Dy 0.2421 0.2421 0.2319  6 Ge 2.99-3.09, 2 Rh 3.11
Dy 0.7579 0.7579 0.7681  6 Ge 2.99-3.09, 2 Rh 3.11
Dy 0.8984 0.8984 0.0780  7 Ge 2.94-3.20
Dy 0.9715 0.9715 0.6209  6 Ge 2.97-3.19, 4 Rh 3.08-3.24
Ge 0.3649 0.3649 0.4590  3 Rh 2.49-2.68, 1 Ge 2.71
Ge 0.3796 0.3796 0.9253  2 Ge 2.67-2.70, 3 Dy 2.94-2.98
Ge 0.4665 0.4665 0.7671  1 Rh 2.60, 1 Ge 2.67
Ge 0.5335 0.5335 0.2329  1 Rh 2.60, 1 Ge 2.67
Ge 0.6204 0.6204 0.0747  2 Ge 2.67-2.70, 3 Dy 2.94-2.98
Ge 0.6351 0.6351 0.5410  3 Rh 2.49-2.68, 1 Ge 2.71
Rh 0.2534 0.2534 0.6049  4 Ge 2.49-2.68
Rh 0.7466 0.7466 0.3951  4 Ge 2.49-2.68

Properties
Energy of formation = -623 kJ/mol of formula units

---

(5)
Here is ErAlBr after structural relaxation from the Alexandria database. Energies are from GGA-PBE.

a b c (Å): 7.2564 4.1891 11.6495
angles (deg): 90.00 102.06 90.00
Closest atoms and distances in Å follow each position.
Fractional coordinates of all 12 atoms:
Er 0.0602 0.0000 0.1796  3 Br 2.96, 3 Al 3.03
Er 0.4398 0.5000 0.8204  3 Br 2.96, 3 Al 3.03
Er 0.5602 0.5000 0.1796  3 Br 2.96, 3 Al 3.03
Er 0.9398 0.0000 0.8204  3 Br 2.96, 3 Al 3.03
Al 0.1599 0.5000 0.9800  3 Al 2.46
Al 0.3401 0.0000 0.0200  3 Al 2.46
Al 0.6599 0.0000 0.9800  3 Al 2.46
Al 0.8401 0.5000 0.0200  3 Al 2.46
Br 0.2227 0.0000 0.6703  3 Er 2.96
Br 0.2773 0.5000 0.3297  3 Er 2.96
Br 0.7227 0.5000 0.6703  3 Er 2.96
Br 0.7773 0.0000 0.3297  3 Er 2.96

Properties
Uncorrected formation energy = -1.0200 eV per atom

---

(6)
Here is Zn3CoB after structural relaxation from the Alexandria database. Energies are from GGA-PBE.

a b c (Å): 4.5147 4.5147 4.5147
angles (deg): 90.00 90.00 90.00
Closest atoms and distances in Å follow each position.
Fractional coordinates of all 5 atoms:
Zn 0.0000 0.0000 0.5000  2 Co 2.26
Zn 0.0000 0.5000 0.0000  2 Co 2.26
Zn 0.5000 0.0000 0.0000  2 Co 2.26
Co 0.0000 0.0000 0.0000  6 Zn 2.26
B 0.5000 0.5000 0.5000  12 Zn 3.19

Properties
Energy of formation = 584 kJ/mol of formula units
Energy above the lowest structure with this stoichiometry = 622 meV/atom